#P
Compound: HfBeSbI2
Source: Alexandria
Functional: PBE
Structure: relaxed

a b c (Å): 5.6494 5.6494 5.6820
angles (deg): 90.00 90.00 90.00
With the nearest neighbours (Å) after each atom.
Atoms (fractional coordinates):
1 Hf 0.0000 0.0000 0.0000  4 I 2.82, 2 Sb 2.84
2 Be 0.5000 0.5000 0.5000  4 Sb 3.99, 8 I 4.01
3 Sb 0.0000 0.0000 0.5000  2 Hf 2.84
4 I 0.0000 0.5000 0.0000  2 Hf 2.82
5 I 0.5000 0.0000 0.0000  2 Hf 2.82

N(E_F) ... 3.88 states/eV per cell
Magnetic moment ... 0.0 μB per formula unit
Mass density ... 5.16 g cm⁻³


#Q
Compound: HfBeSbI2
Source: Alexandria
Functional: PBE
Structure: relaxed

a b c (Å): 5.0025 5.0025 5.1883
angles (deg): 90.00 90.00 90.00
With the nearest neighbours (Å) after each atom.
Atoms (fractional coordinates):
1 Hf 0.0000 0.0000 0.0000  4 Sb 3.54, 8 I 3.60
2 Be 0.5000 0.5000 0.5000  4 I 2.50, 2 Sb 2.59
3 Sb 0.5000 0.5000 0.0000  2 Be 2.59
4 I 0.0000 0.5000 0.5000  2 Be 2.50
5 I 0.5000 0.0000 0.5000  2 Be 2.50

N(E_F) ... 3.46 states/eV per cell
Magnetic moment ... 0.5 μB per formula unit
Mass density ... 7.20 g cm⁻³


Quick look at relative energies in meV/atom: #P 0; #Q 99.


#P
Compound: HfBeSb2I
Source: Alexandria
Functional: PBE
Structure: relaxed

a b c (Å): 5.5486 5.5486 5.1968
angles (deg): 90.00 90.00 90.00
With the nearest neighbours (Å) after each atom.
Atoms (fractional coordinates):
1 Hf 0.0000 0.0000 0.0000  2 Be 2.60, 4 Sb 2.77
2 Be 0.0000 0.0000 0.5000  2 Hf 2.60
3 Sb 0.0000 0.5000 0.0000  2 Hf 2.77
4 Sb 0.5000 0.0000 0.0000  2 Hf 2.77
5 I 0.5000 0.5000 0.5000  8 Sb 3.80, 4 Be 3.92

N(E_F) ... 7.66 states/eV per cell
Magnetic moment ... 0.0 μB per formula unit
Mass density ... 5.79 g cm⁻³


#Q
Compound: HfBeSb2I
Source: Alexandria
Functional: PBE
Structure: relaxed

a b c (Å): 4.8406 4.8406 5.2783
angles (deg): 90.00 90.00 90.00
With the nearest neighbours (Å) after each atom.
Atoms (fractional coordinates):
1 Hf 0.0000 0.0000 0.0000  4 I 3.42, 8 Sb 3.58
2 Be 0.5000 0.5000 0.5000  4 Sb 2.42, 2 I 2.64
3 Sb 0.0000 0.5000 0.5000  2 Be 2.42
4 Sb 0.5000 0.0000 0.5000  2 Be 2.42
5 I 0.5000 0.5000 0.0000  2 Be 2.64

N(E_F) ... 4.25 states/eV per cell
Magnetic moment ... 0.0 μB per formula unit
Mass density ... 7.49 g cm⁻³


#R
Compound: HfBeSb2I
Source: Alexandria
Functional: PBE
Structure: relaxed

a b c (Å): 5.5589 5.5589 5.6403
angles (deg): 90.00 90.00 90.00
With the nearest neighbours (Å) after each atom.
Atoms (fractional coordinates):
1 Hf 0.0000 0.0000 0.0000  4 Sb 2.78, 2 I 2.82
2 Be 0.5000 0.5000 0.5000  4 I 3.93, 8 Sb 3.96
3 Sb 0.0000 0.5000 0.0000  2 Hf 2.78
4 Sb 0.5000 0.0000 0.0000  2 Hf 2.78
5 I 0.0000 0.0000 0.5000  2 Hf 2.82

N(E_F) ... 4.66 states/eV per cell
Magnetic moment ... 0.0 μB per formula unit
Mass density ... 5.32 g cm⁻³


Quick look at relative energies in meV/atom: #P 57; #Q 0; #R 81.


#P
Compound: HfBeTeI2
Source: Alexandria
Functional: PBE
Structure: relaxed

a b c (Å): 5.7603 5.7603 5.5273
angles (deg): 90.00 90.00 90.00
With the nearest neighbours (Å) after each atom.
Atoms (fractional coordinates):
1 Hf 0.0000 0.0000 0.0000  2 Te 2.76, 4 I 2.88
2 Be 0.5000 0.5000 0.5000  8 I 3.99, 4 Te 4.07
3 Te 0.0000 0.0000 0.5000  2 Hf 2.76
4 I 0.0000 0.5000 0.0000  2 Hf 2.88
5 I 0.5000 0.0000 0.0000  2 Hf 2.88

N(E_F) ... 2.23 states/eV per cell
Magnetic moment ... 0.0 μB per formula unit
Mass density ... 5.15 g cm⁻³


#Q
Compound: HfBeTeI2
Source: Alexandria
Functional: PBE
Structure: relaxed

a b c (Å): 4.9991 4.9991 5.2323
angles (deg): 90.00 90.00 90.00
With the nearest neighbours (Å) after each atom.
Atoms (fractional coordinates):
1 Hf 0.0000 0.0000 0.0000  4 Te 3.53, 8 I 3.62
2 Be 0.5000 0.5000 0.5000  4 I 2.50, 2 Te 2.62
3 Te 0.5000 0.5000 0.0000  2 Be 2.62
4 I 0.0000 0.5000 0.5000  2 Be 2.50
5 I 0.5000 0.0000 0.5000  2 Be 2.50

N(E_F) ... 2.86 states/eV per cell
Magnetic moment ... 0.0 μB per formula unit
Mass density ... 7.22 g cm⁻³


Quick look at relative energies in meV/atom: #P 0; #Q 181.


#P
Compound: HfBeTe2I
Source: Alexandria
Functional: PBE
Structure: relaxed

a b c (Å): 5.5531 5.5531 5.7822
angles (deg): 90.00 90.00 90.00
With the nearest neighbours (Å) after each atom.
Atoms (fractional coordinates):
1 Hf 0.0000 0.0000 0.0000  4 Te 2.78, 2 I 2.89
2 Be 0.5000 0.5000 0.5000  4 I 3.93, 8 Te 4.01
3 Te 0.0000 0.5000 0.0000  2 Hf 2.78
4 Te 0.5000 0.0000 0.0000  2 Hf 2.78
5 I 0.0000 0.0000 0.5000  2 Hf 2.89

N(E_F) ... 3.86 states/eV per cell
Magnetic moment ... 0.0 μB per formula unit
Mass density ... 5.30 g cm⁻³


#Q
Compound: HfBeTe2I
Source: Alexandria
Functional: PBE
Structure: relaxed

a b c (Å): 5.0251 5.0251 4.9912
angles (deg): 90.00 90.00 90.00
With the nearest neighbours (Å) after each atom.
Atoms (fractional coordinates):
1 Hf 0.0000 0.0000 0.0000  8 Te 3.54, 4 I 3.55
2 Be 0.5000 0.5000 0.5000  2 I 2.50, 4 Te 2.51
3 Te 0.0000 0.5000 0.5000  2 Be 2.51
4 Te 0.5000 0.0000 0.5000  2 Be 2.51
5 I 0.5000 0.5000 0.0000  2 Be 2.50

N(E_F) ... 4.12 states/eV per cell
Magnetic moment ... 0.0 μB per formula unit
Mass density ... 7.50 g cm⁻³


Quick look at relative energies in meV/atom: #P 0; #Q 73.


#P
Compound: Hf2BeIn
Source: Alexandria
Functional: PBE
Structure: relaxed

a b c (Å): 3.0042 3.0042 8.2102
angles (deg): 90.00 90.00 90.00
With the nearest neighbours (Å) after each atom.
Atoms (fractional coordinates):
1 Hf 0.0000 0.0000 0.2055  4 Be 2.71, 4 Hf 3.00
2 Hf 0.0000 0.0000 0.7945  4 Be 2.71, 4 Hf 3.00
3 Be 0.5000 0.5000 0.0000  8 Hf 2.71, 4 Be 3.00
4 In 0.5000 0.5000 0.5000  4 In 3.00, 8 Hf 3.22

N(E_F) ... 3.12 states/eV per cell
Magnetic moment ... 0.0 μB per formula unit
Mass density ... 10.77 g cm⁻³


#Q
Compound: Hf2BeIn
Source: Alexandria
Functional: PBE
Structure: relaxed

a b c (Å): 4.7518 4.7518 4.7518
angles (deg): 60.00 60.00 60.00
With the nearest neighbours (Å) after each atom.
Atoms (fractional coordinates):
1 Hf 0.2500 0.2500 0.2500  4 In 2.91, 4 Be 2.91
2 Hf 0.7500 0.7500 0.7500  4 Be 2.91, 4 In 2.91
3 Be 0.0000 0.0000 0.0000  8 Hf 2.91
4 In 0.5000 0.5000 0.5000  8 Hf 2.91

N(E_F) ... 3.98 states/eV per cell
Magnetic moment ... 0.0 μB per formula unit
Mass density ... 10.52 g cm⁻³


#R
Compound: Hf2BeIn
Source: Alexandria
Functional: PBE
Structure: relaxed

a b c (Å): 6.0032 6.0032 6.0032
angles (deg): 103.26 103.26 122.76
With the nearest neighbours (Å) after each atom.
Atoms (fractional coordinates):
1 Hf 0.0874 0.6250 0.9624  2 Be 2.55
2 Hf 0.3750 0.3374 0.4624  2 Be 2.55
3 Hf 0.6626 0.1250 0.0376  2 Be 2.55
4 Hf 0.8750 0.9126 0.5376  2 Be 2.55
5 Be 0.0000 0.0000 0.0000  4 Hf 2.55
6 Be 0.7500 0.2500 0.5000  4 Hf 2.55
7 In 0.2500 0.7500 0.5000  2 Be 2.88, 4 Hf 2.93
8 In 0.5000 0.5000 0.0000  2 Be 2.88, 4 Hf 2.93

N(E_F) ... 5.59 states/eV per cell
Magnetic moment ... 0.0 μB per formula unit
Mass density ... 10.00 g cm⁻³


Quick look at relative energies in meV/atom: #P 0; #Q 214; #R 439.


#P
Compound: HfBe2Ir
Source: Alexandria
Functional: PBE
Structure: relaxed

a b c (Å): 4.1494 4.1494 4.1494
angles (deg): 60.00 60.00 60.00
With the nearest neighbours (Å) after each atom.
Atoms (fractional coordinates):
1 Hf 0.0000 0.0000 0.0000  8 Be 2.54
2 Be 0.2500 0.2500 0.2500  4 Ir 2.54, 4 Hf 2.54
3 Be 0.7500 0.7500 0.7500  4 Ir 2.54, 4 Hf 2.54
4 Ir 0.5000 0.5000 0.5000  8 Be 2.54

N(E_F) ... 1.19 states/eV per cell
Magnetic moment ... 0.0 μB per formula unit
Mass density ... 12.78 g cm⁻³


#Q
Compound: HfBe2Ir
Source: Alexandria
Functional: PBE
Structure: relaxed

a b c (Å): 8.5200 8.5200 8.5200
angles (deg): 153.36 153.36 38.02
With the nearest neighbours (Å) after each atom.
Atoms (fractional coordinates):
1 Hf 0.0000 0.0000 0.0000  4 Ir 2.78, 8 Be 2.97-2.98
2 Hf 0.7500 0.2500 0.5000  4 Ir 2.78, 8 Be 2.97-2.98
3 Be 0.3730 0.6250 0.2480  2 Be 1.96
4 Be 0.3750 0.6230 0.7480  2 Be 1.96
5 Be 0.3770 0.1250 0.7520  2 Be 1.96
6 Be 0.8750 0.6270 0.2520  2 Be 1.96
7 Ir 0.2500 0.7500 0.5000  4 Be 2.24
8 Ir 0.5000 0.5000 0.0000  4 Be 2.24

N(E_F) ... 4.56 states/eV per cell
Magnetic moment ... 0.0 μB per formula unit
Mass density ... 10.40 g cm⁻³


Quick look at relative energies in meV/atom: #P 0; #Q 478.